! CaPrPu4, optimized geometry, DFT PBE; values from VASP
! - E_tot: -10.380 eV/atom
! - Formation enthalpy at 0 K: 1.826 eV per formula unit
&SYSTEM
  ibrav = 0, nat = 6, ntyp = 3
/
ATOMIC_SPECIES
Pu 244.00 Pu.upf
Ca 40.08 Ca.upf
Pr 140.91 Pr.upf
CELL_PARAMETERS angstrom
-0.466 5.600 3.013
-5.475 1.660 2.815
-0.389 0.175 6.362
ATOMIC_POSITIONS crystal
Pu 0.124 0.625 0.625
Pu 0.625 0.625 0.625
Pu 0.625 0.124 0.625
Pu 0.625 0.625 0.124
Ca 0.250 0.250 0.250
Pr 0.000 0.000 0.000